Entry 1:
# TiMn3Si

A crystal of TiMn3Si relaxed with PBEsol (SCAN, the Alexandria database).

Values from the calculation:
Raw formation energy (kJ per mole of atoms): 30.92

Cell and atoms, written as POSCAR:
```
TiMn3Si
1.0
-1.960 -0.697 3.638
1.728 -3.813 0.200
3.277 1.594 2.070
Mn Ti Si
3 1 1
direct
0.000 0.500 0.000
0.500 0.000 0.000
0.000 0.000 0.500
0.500 0.500 0.500
0.000 0.000 0.000
```



Entry 2:
# TlCuO2

A crystal of TlCuO2 relaxed with PBEsol (SCAN, the Alexandria database).

Values from the calculation:
ΔE to the lowest computed polymorph (eV per formula unit): 0.30
Raw formation energy (kJ per mole of atoms): -59.74

Cell and atoms, written as POSCAR:
```
TlCuO2
1.0
-3.038 -1.383 0.962
1.033 -0.209 -3.310
5.324 -10.099 2.299
O Tl Cu
4 2 2
direct
0.667 0.333 0.596
0.667 0.333 0.904
0.333 0.667 0.096
0.333 0.667 0.404
0.000 0.000 0.000
0.000 0.000 0.500
0.333 0.667 0.250
0.667 0.333 0.750
```



Entry 3:
# Cu2AgSe2O10

A crystal of Cu2AgSe2O10 relaxed with PBEsol (SCAN, the Alexandria database).

Values from the calculation:
Raw formation energy (kJ per mole of atoms): -46.28

Cell and atoms, written as POSCAR:
```
Cu2AgSe2O10
1.0
-3.610 -0.701 4.103
4.840 -2.522 0.758
2.336 7.012 0.404
Cu O Ag Se
2 10 1 2
direct
0.000 0.500 0.000
0.500 0.000 0.000
0.003 0.830 0.833
0.677 0.783 0.460
0.061 0.720 0.251
0.531 0.189 0.251
0.323 0.217 0.540
0.469 0.811 0.749
0.997 0.170 0.167
0.939 0.280 0.749
0.624 0.325 0.949
0.376 0.675 0.051
0.000 0.500 0.500
0.223 0.080 0.304
0.777 0.920 0.696
```



Entry 4:
# NbTe2MoP

A crystal of NbTe2MoP relaxed with PBEsol (SCAN, the Alexandria database).

Values from the calculation:
Raw formation energy (kJ per mole of atoms): 104.83

Cell and atoms, written as POSCAR:
```
NbTe2MoP
1.0
4.532 0.000 0.000
0.000 5.102 0.000
0.000 0.000 5.102
Te P Mo Nb
2 1 1 1
direct
0.000 0.500 0.000
0.000 0.000 0.500
0.000 0.000 0.000
0.500 0.500 0.500
0.500 0.000 0.000
```



Entry 5:
# PPt2Cl

A crystal of PPt2Cl relaxed with PBEsol (SCAN, the Alexandria database).

Values from the calculation:
ΔE to the lowest computed polymorph (eV per formula unit): 3.91
Raw formation energy (kJ per mole of atoms): 72.17

Cell and atoms, written as POSCAR:
```
PPt2Cl
1.0
-3.962 0.751 1.887
-3.070 -3.224 0.088
-1.042 -1.977 3.851
Cl Pt P
1 2 1
direct
0.500 0.500 0.500
0.250 0.250 0.250
0.000 0.000 0.000
0.750 0.750 0.750
```



Entry 6:
# Y3Cu

A crystal of Y3Cu relaxed with PBEsol (SCAN, the Alexandria database).

Values from the calculation:
Formation energy (eV per atom): -0.089

Cell and atoms, written as POSCAR:
```
Y3Cu
1.0
3.574 0.000 0.000
0.000 5.192 0.000
-1.787 -2.596 5.491
Y Cu
3 1
direct
0.704 0.288 0.408
0.500 0.583 0.000
0.296 0.879 0.592
0.000 0.083 0.000
```



Entry 7:
# Li2AlB5H38N6

A crystal of Li2AlB5H38N6 relaxed with PBEsol (SCAN, the Alexandria database).

Values from the calculation:
Final energy (eV per atom): -4.929

Cell and atoms, written as POSCAR:
```
Li2AlB5H38N6
1.0
7.509 0.000 0.000
-3.754 6.503 0.000
0.000 0.000 15.648
H N Al B Li
76 12 2 10 4
direct
0.835 0.367 0.077
0.778 0.662 0.208
0.222 0.338 0.792
0.160 0.388 0.541
0.367 0.835 0.423
0.736 0.837 0.128
0.835 0.468 0.577
0.899 0.420 0.299
0.333 0.667 0.028
0.264 0.101 0.372
0.479 0.899 0.701
0.899 0.163 0.372
0.532 0.367 0.577
0.254 0.948 0.904
0.388 0.227 0.459
0.884 0.222 0.208
0.884 0.662 0.708
0.333 0.667 0.528
0.165 0.633 0.923
0.227 0.388 0.041
0.662 0.884 0.792
0.948 0.254 0.596
0.052 0.746 0.404
0.695 0.746 0.904
0.633 0.165 0.577
0.837 0.736 0.372
0.899 0.736 0.872
0.580 0.101 0.799
0.227 0.840 0.541
0.695 0.948 0.404
0.479 0.580 0.201
0.633 0.468 0.077
0.667 0.333 0.472
0.116 0.778 0.792
0.736 0.899 0.628
0.264 0.163 0.872
0.305 0.052 0.596
0.580 0.479 0.299
0.367 0.532 0.923
0.899 0.479 0.799
0.662 0.778 0.292
0.532 0.165 0.077
0.773 0.160 0.459
0.468 0.633 0.423
0.773 0.612 0.959
0.254 0.305 0.404
0.612 0.773 0.541
0.165 0.532 0.423
0.420 0.521 0.701
0.612 0.840 0.041
0.840 0.227 0.959
0.338 0.116 0.208
0.746 0.052 0.096
0.163 0.899 0.128
0.840 0.612 0.459
0.778 0.116 0.708
0.746 0.695 0.596
0.116 0.338 0.292
0.948 0.695 0.096
0.101 0.264 0.128
0.420 0.899 0.201
0.160 0.773 0.041
0.521 0.420 0.799
0.101 0.580 0.701
0.222 0.884 0.292
0.388 0.160 0.959
0.338 0.222 0.708
0.305 0.254 0.096
0.468 0.835 0.923
0.101 0.521 0.201
0.052 0.305 0.904
0.521 0.101 0.299
0.667 0.333 0.972
0.163 0.264 0.628
0.101 0.837 0.628
0.837 0.101 0.872
0.826 0.076 0.426
0.250 0.174 0.426
0.250 0.076 0.926
0.174 0.924 0.574
0.174 0.250 0.074
0.924 0.174 0.926
0.750 0.924 0.074
0.924 0.750 0.426
0.076 0.250 0.574
0.750 0.826 0.574
0.826 0.750 0.926
0.076 0.826 0.074
0.000 0.000 0.000
0.000 0.000 0.500
0.624 0.624 0.250
0.333 0.667 0.949
0.000 0.376 0.250
0.376 0.376 0.750
0.333 0.667 0.449
0.000 0.624 0.750
0.624 0.000 0.750
0.667 0.333 0.051
0.667 0.333 0.551
0.376 0.000 0.250
0.333 0.667 0.785
0.333 0.667 0.285
0.667 0.333 0.215
0.667 0.333 0.715
```



Entry 8:
# PPdNO2

A crystal of PPdNO2 relaxed with PBEsol (SCAN, the Alexandria database).

Values from the calculation:
Raw formation energy (kJ per mole of atoms): 95.63

Cell and atoms, written as POSCAR:
```
PPdNO2
1.0
3.829 0.000 0.000
0.000 3.845 0.000
0.000 0.000 3.845
P Pd O N
1 1 2 1
direct
0.500 0.500 0.500
0.000 0.000 0.000
0.000 0.500 0.000
0.000 0.000 0.500
0.500 0.000 0.000
```



Entry 9:
# KHg2Pt

A crystal of KHg2Pt relaxed with PBEsol (SCAN, the Alexandria database).

Values from the calculation:
ΔE to the lowest computed polymorph (eV per formula unit): 0.40
Formation energy (eV per atom): 0.101

Cell and atoms, written as POSCAR:
```
KHg2Pt
1.0
3.048 0.000 0.000
0.000 5.130 0.000
0.000 0.000 5.599
Pt Hg K
1 2 1
direct
0.000 0.500 0.500
0.000 0.000 0.000
0.500 0.000 0.500
0.500 0.500 0.000
```



Entry 10:
# HoCdAg2

A crystal of HoCdAg2 relaxed with PBEsol (SCAN, the Alexandria database).

Values from the calculation:
Formation energy (eV per atom): -0.313

Cell and atoms, written as POSCAR:
```
HoCdAg2
1.0
4.819 0.000 0.000
2.410 4.174 0.000
2.410 1.391 3.935
Ho Ag Cd
1 2 1
direct
0.000 0.000 0.000
0.750 0.750 0.750
0.250 0.250 0.250
0.500 0.500 0.500
```



Entry 11:
# LaAgIr

A crystal of LaAgIr relaxed with PBEsol (SCAN, the Alexandria database).

Values from the calculation:
Formation energy (eV per atom): -0.204

Cell and atoms, written as POSCAR:
```
LaAgIr
1.0
-3.834 -0.648 -2.572
-3.740 -2.062 1.869
-3.842 2.491 0.875
Ag Ir La
1 1 1
direct
0.500 0.500 0.500
0.750 0.750 0.750
0.000 0.000 0.000
```



Entry 12:
# YSc2W

A crystal of YSc2W relaxed with PBEsol (SCAN, the Alexandria database).

Values from the calculation:
ΔE to the lowest computed polymorph (eV per formula unit): 0.54
Formation energy (eV per atom): 0.464

Cell and atoms, written as POSCAR:
```
YSc2W
1.0
3.073 0.000 0.000
0.000 5.397 -0.009
0.000 -1.856 5.068
Sc Y W
2 1 1
direct
0.000 0.000 0.500
0.000 0.500 0.000
0.500 0.500 0.500
0.500 0.000 0.000
```



Number 1: total moment 6.6 μB/cell. Number 2: total moment 0.2 μB/cell. Number 3: total moment 1.0 μB/cell. Number 4: total moment 2.4 μB/cell. Number 5: total moment 0.0 μB/cell. Number 6: total moment 0.0 μB/cell. Number 7: total moment 0.0 μB/cell. Number 8: total moment 0.0 μB/cell. Number 9: total moment 0.0 μB/cell. Number 10: total moment 0.0 μB/cell. Number 11: total moment 0.0 μB/cell. Number 12: total moment 0.0 μB/cell.